Here is a geometry-optimized Y2Be2Tl structure from Alexandria via LeMat-Bulk. Energies are from PBE.

abc: 6.932 6.932 4.276
angles: 90.00 90.00 90.00
Element x y z (fractional)
Y: 0.173 0.327 0.000
Y: 0.327 0.827 0.000
Y: 0.673 0.173 0.000
Y: 0.827 0.673 0.000
Be: 0.113 0.613 0.500
Be: 0.387 0.113 0.500
Be: 0.613 0.887 0.500
Be: 0.887 0.387 0.500
Tl: 0.000 0.000 0.500
Tl: 0.500 0.500 0.500

Its crystal system is tetragonal. As for the density of states at the Fermi level: 4.8 states/eV/f.u. The formation enthalpy at 0 K is -110 meV/atom. Its space group is No. 127.

***

Here is a geometry-optimized LaPr7Mg2 structure from Alexandria via LeMat-Bulk. Energies are from PBE.

abc: 9.449 9.449 5.517
angles: 90.00 90.00 123.01
Element x y z (fractional)
La: 0.000 0.000 0.000
Pr: 0.067 0.302 0.500
Pr: 0.218 0.782 0.000
Pr: 0.302 0.067 0.500
Pr: 0.500 0.500 0.500
Pr: 0.698 0.933 0.500
Pr: 0.782 0.218 0.000
Pr: 0.933 0.698 0.500
Mg: 0.299 0.701 0.500
Mg: 0.701 0.299 0.500

Its crystal system is orthorhombic. As for the density of states at the Fermi level: 15.0 states/eV/f.u. The formation enthalpy at 0 K is 498 meV/atom. Its space group is No. 65.

***

Here is a geometry-optimized Pm12Pr5Sc2 structure from Alexandria via LeMat-Bulk. Energies are from PBE.

abc: 10.072 10.072 9.510
angles: 110.20 110.20 46.93
Element x y z (fractional)
Pm: 0.021 0.021 0.180
Pm: 0.103 0.596 0.024
Pm: 0.132 0.573 0.626
Pm: 0.404 0.897 0.976
Pm: 0.427 0.868 0.374
Pm: 0.462 0.462 0.324
Pm: 0.538 0.538 0.676
Pm: 0.573 0.132 0.626
Pm: 0.596 0.103 0.024
Pm: 0.868 0.427 0.374
Pm: 0.897 0.404 0.976
Pm: 0.979 0.979 0.820
Pr: 0.192 0.192 0.697
Pr: 0.274 0.274 0.276
Pr: 0.500 0.500 0.000
Pr: 0.726 0.726 0.724
Pr: 0.808 0.808 0.303
Sc: 0.170 0.830 0.500
Sc: 0.830 0.170 0.500

Its crystal system is monoclinic. As for the density of states at the Fermi level: 30.2 states/eV/f.u. The formation enthalpy at 0 K is 175 meV/atom. Its space group is No. 12.

***

How do the records compare in E? In the order shown, they have -46.60, -36.60, -90.25 eV for the cell shown.
How do the records compare in M_tot? In the order shown, they have 0.00, 0.00, 0.00 μB per cell.